VASP calculation (PBE with a Hubbard U) on a relaxed structure of NiBiF2.

Summary:
For the density of states at the Fermi level, the calculation gives 1.8 states/eV/cell. For the volume, the calculation gives 322.18 Å³ per cell. The calculation puts the total magnetization at 1.999 μB per formula unit. The excess energy over the best structure of this formula in the dataset is 149.3 kJ/mol of formula units.

abc: 5.7960 5.7960 9.5904
angles: 90.00 90.00 90.00
Space group I-42d (No. 122)
Asymmetric unit:
Ni 0.0000 0.0000 0.0000 [4 per cell]
Bi 0.0000 0.0000 0.5000 [4 per cell]
F 0.0491 0.2500 0.1250 [8 per cell]